# KScW2 (PBE-GGA, relaxed)
# - E above lowest polymorph: 645.6 meV per atom
# - Electronic total energy: -7.065 eV per atom
# - Calculated formation energy: 1.2689 eV/atom
# - Total magnetic moment: 0.00 μB per cell
data_KScW2
_chemical_formula_sum 'K2 Sc2 W4'
_cell_length_a 5.5010
_cell_length_b 10.5419
_cell_length_c 2.7449
_cell_angle_alpha 90.00
_cell_angle_beta 90.00
_cell_angle_gamma 90.00
_symmetry_space_group_name_H-M 'C m m m'
_symmetry_Int_Tables_number 65
_symmetry_space_group_name_Hall '-C 2 2'
loop_
_atom_site_label
_atom_site_type_symbol
_atom_site_fract_x
_atom_site_fract_y
_atom_site_fract_z
_atom_site_occupancy
K1 K 0.0000 0.0000 0.0000 1
Sc1 Sc 0.0000 0.5000 0.0000 1
W1 W 0.2500 0.2500 0.5000 1